An optimized crystal structure of CoHgSb4, computed with PBE-GGA.

Lattice parameters (Å, degrees): 6.2032 6.2032 6.2032 60.00 60.00 60.00
Sites, in units of the cell vectors:
1 Co 0.0000 0.0000 0.0000
2 Hg 0.7500 0.7500 0.7500
3 Sb 0.3768 0.3768 0.3768
4 Sb 0.3768 0.3768 0.8697
5 Sb 0.3768 0.8697 0.3768
6 Sb 0.8697 0.3768 0.3768

Properties
raw total energy	-3.259	eV per atom
uncorrected formation energy	0.7242	eV per atom